No. 1
Density functional theory data (PBE) for a geometry-optimized Nd12Pd6Pb structure.

SG: Im-3, No. 204
D(E_F): 16.54 states/eV per cell
ΔH_f (0 K): -0.550 eV per atom

a = 8.963 Å, b = 8.963 Å, c = 8.963 Å
α = 109.47°, β = 109.47°, γ = 109.47°
Fractional positions:
1 Nd 0.116 0.815 0.301
2 Nd 0.185 0.301 0.485
3 Nd 0.185 0.699 0.884
4 Nd 0.301 0.116 0.815
5 Nd 0.301 0.485 0.185
6 Nd 0.485 0.185 0.301
7 Nd 0.515 0.815 0.699
8 Nd 0.699 0.515 0.815
9 Nd 0.699 0.884 0.185
10 Nd 0.815 0.301 0.116
11 Nd 0.815 0.699 0.515
12 Nd 0.884 0.185 0.699
13 Pd 0.133 0.633 0.500
14 Pd 0.367 0.500 0.867
15 Pd 0.500 0.133 0.633
16 Pd 0.500 0.867 0.367
17 Pd 0.633 0.500 0.133
18 Pd 0.867 0.367 0.500
19 Pb 0.000 0.000 0.000

---

No. 2
Density functional theory data (PBE) for a geometry-optimized MgMnHg3 structure.

SG: Pm-3m, No. 221
D(E_F): 5.47 states/eV per cell
ΔH_f (0 K): 0.406 eV per atom

a = 5.190 Å, b = 5.190 Å, c = 5.190 Å
α = 90.00°, β = 90.00°, γ = 90.00°
Fractional positions:
1 Mg 0.000 0.000 0.000
2 Mn 0.500 0.500 0.500
3 Hg 0.000 0.500 0.500
4 Hg 0.500 0.000 0.500
5 Hg 0.500 0.500 0.000

---

No. 3
Density functional theory data (PBE) for a geometry-optimized ScBS3 structure.

SG: Pm-3m, No. 221
D(E_F): 1.92 states/eV per cell
uncorrected energy: -5.2451 eV/atom

a = 4.239 Å, b = 4.239 Å, c = 4.239 Å
α = 90.00°, β = 90.00°, γ = 90.00°
Fractional positions:
1 Sc 0.000 0.000 0.000
2 B 0.500 0.500 0.500
3 S 0.000 0.500 0.500
4 S 0.500 0.000 0.500
5 S 0.500 0.500 0.000

---

What did the second record say?
Density functional theory data (PBE) for a geometry-optimized MgMnHg3 structure.

SG: Pm-3m, No. 221
D(E_F): 5.47 states/eV per cell
ΔH_f (0 K): 0.406 eV per atom

a = 5.190 Å, b = 5.190 Å, c = 5.190 Å
α = 90.00°, β = 90.00°, γ = 90.00°
Fractional positions:
1 Mg 0.000 0.000 0.000
2 Mn 0.500 0.500 0.500
3 Hg 0.000 0.500 0.500
4 Hg 0.500 0.000 0.500
5 Hg 0.500 0.500 0.000

---

Look up the D(E_F) of the second one. 5.47 states/eV per cell

---

Among the records above, which one has the highest D(E_F)? Nd12Pd6Pb